No. 1
## AgPt (PBE-GGA)

Data for crystalline AgPt at its relaxed geometry.

a b c (Å): 6.989 4.893 5.822
angles (deg): 90.00 90.00 88.32
Fractional coordinates of all 12 atoms:
Ag: 0.000 0.000 0.000
Ag: 0.668 0.164 0.251
Ag: 0.332 0.336 0.499
Ag: 0.000 0.500 0.750
Ag: 0.332 0.836 0.251
Ag: 0.668 0.664 0.499
Pt: 0.663 0.658 0.993
Pt: 0.000 0.000 0.499
Pt: 0.663 0.158 0.757
Pt: 0.337 0.342 0.993
Pt: 0.000 0.500 0.251
Pt: 0.337 0.842 0.757

## Properties
Total magnetic moment ... 0.0 μB/cell
E ... -4.400 eV/atom
DOS at the Fermi energy ... 0.77 states/eV per atom



No. 2
## Ag7Pt5 (PBE-GGA)

Data for crystalline Ag7Pt5 at its relaxed geometry.

a b c (Å): 6.376 6.376 5.053
angles (deg): 82.95 82.95 84.32
Fractional coordinates of all 12 atoms:
Ag: 0.997 0.998 0.999
Ag: 0.417 0.083 0.750
Ag: 0.837 0.168 0.501
Ag: 0.081 0.419 0.750
Ag: 0.502 0.503 0.501
Ag: 0.332 0.663 0.999
Ag: 0.753 0.747 0.750
Pt: 0.255 0.245 0.250
Pt: 0.661 0.328 0.017
Pt: 0.917 0.583 0.250
Pt: 0.172 0.839 0.483
Pt: 0.579 0.921 0.250

## Properties
Total magnetic moment ... 0.0 μB/cell
E ... -4.149 eV/atom
DOS at the Fermi energy ... 0.44 states/eV per atom



No. 3
## Ag2Pt3 (PBE-GGA)

Data for crystalline Ag2Pt3 at its relaxed geometry.

a b c (Å): 10.733 2.788 2.788
angles (deg): 90.00 82.54 82.54
Fractional coordinates of all 5 atoms:
Ag: 0.998 0.001 0.001
Ag: 0.402 0.799 0.799
Pt: 0.200 0.400 0.400
Pt: 0.605 0.197 0.197
Pt: 0.795 0.603 0.603

## Properties
Total magnetic moment ... 0.0 μB/cell
E ... -4.727 eV/atom
DOS at the Fermi energy ... 1.48 states/eV per atom